## K2AcCrF6 (PBE with a Hubbard U)

Data for a relaxed structure of K2AcCrF6.

- Fermi-level density of states (states/eV/cell) = 8.43
- electronic total energy (eV for the cell shown) = -108.5
- calculated density (Mg/m³) = 3.80

Unit cell a=6.145 b=9.613 c=6.962 alpha=90.00 beta=90.00 gamma=90.00
Space group Pmmn (No. 59, origin choice 2)
Inequivalent atoms, fractional coordinates:
K: 0.250 0.048 0.178
Ac: 0.250 0.250 0.698
Cr: 0.250 0.750 0.792
F: 0.002 0.750 0.025
F: 0.018 0.250 0.416
F: 0.250 0.010 0.793